Record 1
Entry from Alexandria via LeMat-Bulk: a relaxed SrScCl crystal (GGA-PBE).

CIF file:
```
data_SrScCl
_space_group_name_H-M_alt 'I 4 m m'
_space_group_IT_number 107
_space_group_name_Hall 'I 4 -2'
_cell_length_a 3.4969
_cell_length_b 3.4969
_cell_length_c 13.7842
_cell_angle_alpha 90.00
_cell_angle_beta 90.00
_cell_angle_gamma 90.00
loop_
_atom_site_label
_atom_site_fract_x
_atom_site_fract_y
_atom_site_fract_z
_atom_site_occupancy
Sr1 0.0000 0.0000 0.0000 1
Sc1 0.0000 0.0000 0.3057 1
Cl1 0.0000 0.0000 0.6586 1
```

Output
V	28.1	Å³ per atom
final energy	-3.886	eV per atom

***

Record 2
Entry from Alexandria via LeMat-Bulk: a relaxed URe2Si crystal (GGA-PBE).

CIF file:
```
data_URe2Si
_space_group_name_H-M_alt 'P 4/m m m'
_space_group_IT_number 123
_space_group_name_Hall '-P 4 2'
_cell_length_a 4.2499
_cell_length_b 4.2499
_cell_length_c 3.6356
_cell_angle_alpha 90.00
_cell_angle_beta 90.00
_cell_angle_gamma 90.00
loop_
_atom_site_label
_atom_site_fract_x
_atom_site_fract_y
_atom_site_fract_z
_atom_site_occupancy
U1 0.0000 0.0000 0.0000 1
Re1 0.0000 0.5000 0.5000 1
Si1 0.5000 0.5000 0.0000 1
```

Output
V	16.4	Å³ per atom
final energy	-10.463	eV per atom

***

Record 3
Entry from Alexandria via LeMat-Bulk: a relaxed Y3HfIr4 crystal (GGA-PBE).

CIF file:
```
data_Y3HfIr4
_space_group_name_H-M_alt 'P 4/m m m'
_space_group_IT_number 123
_space_group_name_Hall '-P 4 2'
_cell_length_a 3.3313
_cell_length_b 3.3313
_cell_length_c 14.1368
_cell_angle_alpha 90.00
_cell_angle_beta 90.00
_cell_angle_gamma 90.00
loop_
_atom_site_label
_atom_site_fract_x
_atom_site_fract_y
_atom_site_fract_z
_atom_site_occupancy
Y1 0.0000 0.0000 0.0000 1
Y2 0.0000 0.0000 0.2552 1
Hf1 0.0000 0.0000 0.5000 1
Ir1 0.5000 0.5000 0.1291 1
Ir2 0.5000 0.5000 0.3918 1
```

Output
energy of formation	-831	meV per atom
V	19.6	Å³ per atom

***

Record 4
Entry from Alexandria via LeMat-Bulk: a relaxed CrCuRh crystal (GGA-PBE).

CIF file:
```
data_CrCuRh
_space_group_name_H-M_alt 'I 4 m m'
_space_group_IT_number 107
_space_group_name_Hall 'I 4 -2'
_cell_length_a 2.6992
_cell_length_b 2.6992
_cell_length_c 10.5966
_cell_angle_alpha 90.00
_cell_angle_beta 90.00
_cell_angle_gamma 90.00
loop_
_atom_site_label
_atom_site_fract_x
_atom_site_fract_y
_atom_site_fract_z
_atom_site_occupancy
Cr1 0.0000 0.0000 0.0000 1
Cu1 0.0000 0.0000 0.3347 1
Rh1 0.0000 0.0000 0.6572 1
```

Output
energy of formation	116	meV per atom
V	12.9	Å³ per atom

***

Record 5
Entry from Alexandria via LeMat-Bulk: a relaxed Mg2ZrGa crystal (GGA-PBE).

CIF file:
```
data_Mg2ZrGa
_space_group_name_H-M_alt 'I -4 2 d'
_space_group_IT_number 122
_space_group_name_Hall 'I -4 2bw'
_cell_length_a 7.8781
_cell_length_b 7.8781
_cell_length_c 5.6790
_cell_angle_alpha 90.00
_cell_angle_beta 90.00
_cell_angle_gamma 90.00
loop_
_atom_site_label
_atom_site_fract_x
_atom_site_fract_y
_atom_site_fract_z
_atom_site_occupancy
Mg1 0.2104 0.2500 0.1250 1
Zr1 0.0000 0.0000 0.5000 1
Ga1 0.0000 0.0000 0.0000 1
```

Output
energy of formation	140	meV per atom
V	22.0	Å³ per atom

***

Record 6
Entry from Alexandria via LeMat-Bulk: a relaxed LaHoCd6 crystal (GGA-PBE).

CIF file:
```
data_LaHoCd6
_space_group_name_H-M_alt 'P m m 2'
_space_group_IT_number 25
_space_group_name_Hall 'P 2 -2'
_cell_length_a 5.1821
_cell_length_b 7.2275
_cell_length_c 5.1847
_cell_angle_alpha 90.00
_cell_angle_beta 90.00
_cell_angle_gamma 90.00
loop_
_atom_site_label
_atom_site_fract_x
_atom_site_fract_y
_atom_site_fract_z
_atom_site_occupancy
La1 0.0000 0.0000 0.0000 1
Ho1 0.5000 0.5000 0.5017 1
Cd1 0.0000 0.2622 0.4999 1
Cd2 0.0000 0.5000 0.9998 1
Cd3 0.5000 0.0000 0.5011 1
Cd4 0.5000 0.2622 0.0017 1
```

Output
energy of formation	-285	meV per atom
V	24.3	Å³ per atom

***

Record 7
Entry from Alexandria via LeMat-Bulk: a relaxed ScBe2Pd8 crystal (GGA-PBE).

CIF file:
```
data_ScBe2Pd8
_space_group_name_H-M_alt 'C 1 2/m 1'
_space_group_IT_number 12
_space_group_name_Hall '-C 2y'
_cell_length_a 7.2195
_cell_length_b 10.5755
_cell_length_c 4.4165
_cell_angle_alpha 90.00
_cell_angle_beta 106.37
_cell_angle_gamma 90.00
loop_
_atom_site_label
_atom_site_fract_x
_atom_site_fract_y
_atom_site_fract_z
_atom_site_occupancy
Sc1 0.0000 0.0000 0.0000 1
Be1 0.0000 0.3158 0.5000 1
Pd1 0.0000 0.2506 0.0000 1
Pd2 0.1113 0.5000 0.8060 1
Pd3 0.1996 0.1290 0.5920 1
```

Output
energy of formation	-472	meV per atom
V	14.7	Å³ per atom

***

Record 8
Entry from Alexandria via LeMat-Bulk: a relaxed ZnPt2Au2 crystal (GGA-PBE).

CIF file:
```
data_ZnPt2Au2
_space_group_name_H-M_alt 'P 4/m b m'
_space_group_IT_number 127
_space_group_name_Hall '-P 4 2ab'
_cell_length_a 6.8328
_cell_length_b 6.8328
_cell_length_c 3.7985
_cell_angle_alpha 90.00
_cell_angle_beta 90.00
_cell_angle_gamma 90.00
loop_
_atom_site_label
_atom_site_fract_x
_atom_site_fract_y
_atom_site_fract_z
_atom_site_occupancy
Zn1 0.0000 0.0000 0.0000 1
Pt1 0.1495 0.3505 0.5000 1
Au1 0.1501 0.6501 0.0000 1
```

Output
energy of formation	111	meV per atom
V	17.7	Å³ per atom

***

Record 9
Entry from Alexandria via LeMat-Bulk: a relaxed Sr2Tl6In crystal (GGA-PBE).

CIF file:
```
data_Sr2Tl6In
_space_group_name_H-M_alt 'F m -3 m'
_space_group_IT_number 225
_space_group_name_Hall '-F 4 2 3'
_cell_length_a 10.5983
_cell_length_b 10.5983
_cell_length_c 10.5983
_cell_angle_alpha 90.00
_cell_angle_beta 90.00
_cell_angle_gamma 90.00
loop_
_atom_site_label
_atom_site_fract_x
_atom_site_fract_y
_atom_site_fract_z
_atom_site_occupancy
Sr1 0.2500 0.2500 0.2500 1
Tl1 0.0000 0.0000 0.2158 1
In1 0.0000 0.0000 0.5000 1
```

Output
energy of formation	-180	meV per atom
V	33.1	Å³ per atom

***

Record 10
Entry from Alexandria via LeMat-Bulk: a relaxed Sr6AlHg crystal (GGA-PBE).

CIF file:
```
data_Sr6AlHg
_space_group_name_H-M_alt 'I 4/m m m'
_space_group_IT_number 139
_space_group_name_Hall '-I 4 2'
_cell_length_a 5.7803
_cell_length_b 5.7803
_cell_length_c 20.4882
_cell_angle_alpha 90.00
_cell_angle_beta 90.00
_cell_angle_gamma 90.00
loop_
_atom_site_label
_atom_site_fract_x
_atom_site_fract_y
_atom_site_fract_z
_atom_site_occupancy
Sr1 0.0000 0.0000 0.2475 1
Sr2 0.0000 0.5000 0.0924 1
Al1 0.0000 0.0000 0.0000 1
Hg1 0.0000 0.0000 0.5000 1
```

Output
energy of formation	-167	meV per atom
V	42.8	Å³ per atom

***

Record 11
Entry from Alexandria via LeMat-Bulk: a relaxed Er4ZnGa3 crystal (GGA-PBE).

CIF file:
```
data_Er4ZnGa3
_space_group_name_H-M_alt 'P m m 2'
_space_group_IT_number 25
_space_group_name_Hall 'P 2 -2'
_cell_length_a 4.1173
_cell_length_b 4.1592
_cell_length_c 10.8904
_cell_angle_alpha 90.00
_cell_angle_beta 90.00
_cell_angle_gamma 90.00
loop_
_atom_site_label
_atom_site_fract_x
_atom_site_fract_y
_atom_site_fract_z
_atom_site_occupancy
Er1 0.0000 0.0000 0.0000 1
Er2 0.0000 0.5000 0.4985 1
Er3 0.5000 0.0000 0.2826 1
Er4 0.5000 0.5000 0.7840 1
Zn1 0.5000 0.0000 0.5660 1
Ga1 0.0000 0.0000 0.7202 1
Ga2 0.0000 0.5000 0.2163 1
Ga3 0.5000 0.5000 0.0663 1
```

Output
energy of formation	-534	meV per atom
V	23.3	Å³ per atom

***

Record 12
Entry from Alexandria via LeMat-Bulk: a relaxed Tm5IrSe4 crystal (GGA-PBE).

CIF file:
```
data_Tm5IrSe4
_space_group_name_H-M_alt 'I 4/m m m'
_space_group_IT_number 139
_space_group_name_Hall '-I 4 2'
_cell_length_a 3.9950
_cell_length_b 3.9950
_cell_length_c 29.1610
_cell_angle_alpha 90.00
_cell_angle_beta 90.00
_cell_angle_gamma 90.00
loop_
_atom_site_label
_atom_site_fract_x
_atom_site_fract_y
_atom_site_fract_z
_atom_site_occupancy
Tm1 0.0000 0.0000 0.0000 1
Tm2 0.0000 0.0000 0.2072 1
Tm3 0.0000 0.0000 0.4085 1
Ir1 0.0000 0.0000 0.5000 1
Se1 0.0000 0.0000 0.1070 1
Se2 0.0000 0.0000 0.3056 1
```

Output
V	23.3	Å³ per atom
final energy	-6.019	eV per atom

***

Record 13
Entry from Alexandria via LeMat-Bulk: a relaxed MgPaCr2S6 crystal (GGA-PBE).

CIF file:
```
data_MgPaCr2S6
_space_group_name_H-M_alt 'R 3'
_space_group_IT_number 146
_space_group_name_Hall 'R 3'
_cell_length_a 6.3649
_cell_length_b 6.3649
_cell_length_c 17.2770
_cell_angle_alpha 90.00
_cell_angle_beta 90.00
_cell_angle_gamma 120.00
loop_
_atom_site_label
_atom_site_fract_x
_atom_site_fract_y
_atom_site_fract_z
_atom_site_occupancy
Mg1 0.0000 0.0000 0.0000 1
Pa1 0.0000 0.0000 0.4975 1
Cr1 0.0000 0.0000 0.3056 1
Cr2 0.0000 0.0000 0.8071 1
S1 0.0071 0.3691 0.0622 1
S2 0.0125 0.6310 0.5645 1
```

Output
V	20.2	Å³ per atom
final energy	-6.573	eV per atom

***

Number 1: magnetization 0.5 μB/f.u.. Number 2: magnetization 0.0 μB/f.u.. Number 3: magnetization 0.0 μB/f.u.. Number 4: magnetization 0.9 μB/f.u.. Number 5: magnetization 0.0 μB/f.u.. Number 6: magnetization 0.0 μB/f.u.. Number 7: magnetization 0.0 μB/f.u.. Number 8: magnetization 0.0 μB/f.u.. Number 9: magnetization 0.0 μB/f.u.. Number 10: magnetization 0.0 μB/f.u.. Number 11: magnetization 0.0 μB/f.u.. Number 12: magnetization 0.0 μB/f.u.. Number 13: magnetization 7.0 μB/f.u..